<A>
ErZn10Ni2: relaxed, GGA-PBE.

## Properties
symmetry = Cmcm, No. 63
total magnetization = 0.0 Bohr magnetons per cell

Unit cell a=6.740 b=6.740 c=8.643 alpha=90.00 beta=90.00 gamma=98.76
Fractional positions:
1 Er 0.128 0.872 0.750
2 Er 0.872 0.128 0.250
3 Zn 0.140 0.402 0.750
4 Zn 0.151 0.849 0.099
5 Zn 0.151 0.849 0.401
6 Zn 0.219 0.474 0.250
7 Zn 0.227 0.227 0.000
8 Zn 0.227 0.227 0.500
9 Zn 0.375 0.625 0.543
10 Zn 0.375 0.625 0.957
11 Zn 0.402 0.140 0.250
12 Zn 0.474 0.219 0.750
13 Zn 0.526 0.781 0.250
14 Zn 0.598 0.860 0.750
15 Zn 0.625 0.375 0.043
16 Zn 0.625 0.375 0.457
17 Zn 0.773 0.773 0.000
18 Zn 0.773 0.773 0.500
19 Zn 0.781 0.526 0.750
20 Zn 0.849 0.151 0.599
21 Zn 0.849 0.151 0.901
22 Zn 0.860 0.598 0.250
23 Ni 0.000 0.500 0.000
24 Ni 0.000 0.500 0.500
25 Ni 0.500 0.000 0.000
26 Ni 0.500 0.000 0.500


<B>
ErZn10Ni2: relaxed, GGA-PBE.

## Properties
symmetry = Fmmm, No. 69
total magnetization = 0.0 Bohr magnetons per cell

Unit cell a=8.834 b=6.770 c=6.688 alpha=82.05 beta=49.38 gamma=48.57
Fractional positions:
1 Er 0.000 0.000 0.000
2 Zn 0.000 0.500 0.000
3 Zn 0.015 0.653 0.347
4 Zn 0.284 0.507 0.493
5 Zn 0.347 0.985 0.015
6 Zn 0.493 0.716 0.284
7 Zn 0.500 0.000 0.500
8 Zn 0.507 0.284 0.716
9 Zn 0.653 0.015 0.985
10 Zn 0.716 0.493 0.507
11 Zn 0.985 0.347 0.653
12 Ni 0.000 0.000 0.500
13 Ni 0.500 0.500 0.000


It comes down to <A>, which is 2.2 kJ/mol of atoms more stable than the next structure.


<A>
Er12ZnNi6: relaxed, GGA-PBE.

## Properties
symmetry = R-3, No. 148
total magnetization = 0.0 Bohr magnetons per cell

Unit cell a=8.112 b=8.112 c=8.112 alpha=103.72 beta=103.72 gamma=103.72
Fractional positions:
1 Er 0.075 0.330 0.924
2 Er 0.076 0.925 0.670
3 Er 0.169 0.550 0.408
4 Er 0.330 0.924 0.075
5 Er 0.408 0.169 0.550
6 Er 0.450 0.592 0.831
7 Er 0.550 0.408 0.169
8 Er 0.592 0.831 0.450
9 Er 0.670 0.076 0.925
10 Er 0.831 0.450 0.592
11 Er 0.924 0.075 0.330
12 Er 0.925 0.670 0.076
13 Zn 0.000 0.000 0.000
14 Ni 0.146 0.317 0.617
15 Ni 0.317 0.617 0.146
16 Ni 0.383 0.854 0.683
17 Ni 0.617 0.146 0.317
18 Ni 0.683 0.383 0.854
19 Ni 0.854 0.683 0.383


<B>
Er12ZnNi6: relaxed, GGA-PBE.

## Properties
symmetry = Im-3, No. 204
total magnetization = 0.0 Bohr magnetons per cell

Unit cell a=8.272 b=8.272 c=8.272 alpha=109.47 beta=109.47 gamma=109.47
Fractional positions:
1 Er 0.114 0.814 0.300
2 Er 0.186 0.300 0.487
3 Er 0.186 0.700 0.886
4 Er 0.300 0.114 0.814
5 Er 0.300 0.487 0.186
6 Er 0.487 0.186 0.300
7 Er 0.513 0.814 0.700
8 Er 0.700 0.513 0.814
9 Er 0.700 0.886 0.186
10 Er 0.814 0.300 0.114
11 Er 0.814 0.700 0.513
12 Er 0.886 0.186 0.700
13 Zn 0.000 0.000 0.000
14 Ni 0.125 0.625 0.500
15 Ni 0.375 0.500 0.875
16 Ni 0.500 0.125 0.625
17 Ni 0.500 0.875 0.375
18 Ni 0.625 0.500 0.125
19 Ni 0.875 0.375 0.500


It comes down to <B>, which is 17.2 kJ/mol of atoms more stable than the next structure.


<A>
Er4ZnNi2: relaxed, GGA-PBE.

## Properties
symmetry = P4/mmm, No. 123
total magnetization = 0.0 Bohr magnetons per cell

Unit cell a=4.775 b=4.775 c=6.819 alpha=90.00 beta=90.00 gamma=90.00
Fractional positions:
1 Er 0.000 0.500 0.245
2 Er 0.000 0.500 0.755
3 Er 0.500 0.000 0.245
4 Er 0.500 0.000 0.755
5 Zn 0.000 0.000 0.500
6 Ni 0.000 0.000 0.000
7 Ni 0.500 0.500 0.500


<B>
Er4ZnNi2: relaxed, GGA-PBE.

## Properties
symmetry = P1, No. 1
total magnetization = 0.0 Bohr magnetons per cell

Unit cell a=6.690 b=6.728 c=8.231 alpha=107.90 beta=107.60 gamma=104.43
Fractional positions:
1 Er 0.000 0.000 0.000
2 Er 0.023 0.525 0.050
3 Er 0.063 0.748 0.593
4 Er 0.328 0.151 0.463
5 Er 0.461 0.618 0.880
6 Er 0.494 0.678 0.454
7 Er 0.606 0.259 0.168
8 Er 0.891 0.214 0.588
9 Zn 0.572 0.091 0.788
10 Zn 0.807 0.831 0.260
11 Ni 0.066 0.359 0.340
12 Ni 0.250 0.205 0.850
13 Ni 0.423 0.879 0.199
14 Ni 0.751 0.545 0.710


It comes down to <B>, which is 2.4 kJ/mol of atoms more stable than the next structure.


<A>
ErZn2Ni4: relaxed, GGA-PBE.

## Properties
symmetry = C2/m, No. 12
total magnetization = 0.0 Bohr magnetons per cell

Unit cell a=5.053 b=5.053 c=4.949 alpha=119.18 beta=119.18 gamma=76.05
Fractional positions:
1 Er 0.000 0.000 0.000
2 Zn 0.499 0.499 0.249
3 Zn 0.501 0.501 0.751
4 Ni 0.000 0.386 0.693
5 Ni 0.000 0.614 0.307
6 Ni 0.386 0.000 0.693
7 Ni 0.614 0.000 0.307


<B>
ErZn2Ni4: relaxed, GGA-PBE.

## Properties
symmetry = I4/mmm, No. 139
total magnetization = 0.0 Bohr magnetons per cell

Unit cell a=5.613 b=5.613 c=5.613 alpha=101.49 beta=101.49 gamma=126.99
Fractional positions:
1 Er 0.000 0.000 0.000
2 Zn 0.250 0.750 0.500
3 Zn 0.750 0.250 0.500
4 Ni 0.279 0.500 0.779
5 Ni 0.500 0.279 0.779
6 Ni 0.500 0.721 0.221
7 Ni 0.721 0.500 0.221


It comes down to <A>, which is 57.3 kJ/mol of atoms more stable than the next structure.


<A>
ErZrNi: relaxed, GGA-PBE.

## Properties
symmetry = I4mm, No. 107
total magnetization = 0.3 Bohr magnetons per cell

Unit cell a=6.063 b=6.063 c=6.063 alpha=148.15 beta=148.15 gamma=45.66
Fractional positions:
1 Er 0.000 0.000 0.000
2 Zr 0.289 0.289 0.000
3 Ni 0.664 0.664 0.000


<B>
ErZrNi: relaxed, GGA-PBE.

## Properties
symmetry = Fddd, No. 70
total magnetization = 0.0 Bohr magnetons per cell

Unit cell a=10.356 b=9.589 c=5.545 alpha=81.65 beta=66.36 gamma=31.99
Fractional positions:
1 Er 0.043 0.707 0.043
2 Er 0.293 0.957 0.293
3 Er 0.707 0.043 0.707
4 Er 0.957 0.293 0.957
5 Zr 0.290 0.290 0.460
6 Zr 0.460 0.460 0.290
7 Zr 0.540 0.540 0.710
8 Zr 0.710 0.710 0.540
9 Ni 0.000 0.000 0.250
10 Ni 0.000 0.000 0.750
11 Ni 0.250 0.250 0.000
12 Ni 0.750 0.750 0.000


It comes down to <B>, which is 5.2 kJ/mol of atoms more stable than the next structure.


<A>
ErZr2Ni: relaxed, GGA-PBE.

## Properties
symmetry = R3m, No. 160
total magnetization = 0.0 Bohr magnetons per cell

Unit cell a=7.211 b=7.211 c=7.211 alpha=32.24 beta=32.24 gamma=32.24
Fractional positions:
1 Er 0.000 0.000 0.000
2 Zr 0.555 0.555 0.555
3 Zr 0.780 0.780 0.780
4 Ni 0.169 0.169 0.169


<B>
ErZr2Ni: relaxed, GGA-PBE.

## Properties
symmetry = P4/mmm, No. 123
total magnetization = 0.0 Bohr magnetons per cell

Unit cell a=3.296 b=3.296 c=7.790 alpha=90.00 beta=90.00 gamma=90.00
Fractional positions:
1 Er 0.000 0.000 0.000
2 Zr 0.500 0.500 0.300
3 Zr 0.500 0.500 0.700
4 Ni 0.000 0.000 0.500


<C>
ErZr2Ni: relaxed, GGA-PBE.

## Properties
symmetry = Pnma, No. 62
total magnetization = 0.0 Bohr magnetons per cell

Unit cell a=6.268 b=9.616 c=5.772 alpha=90.00 beta=90.00 gamma=90.00
Fractional positions:
1 Er 0.028 0.250 0.145
2 Er 0.472 0.750 0.645
3 Er 0.528 0.250 0.355
4 Er 0.972 0.750 0.855
5 Zr 0.182 0.054 0.665
6 Zr 0.182 0.446 0.665
7 Zr 0.318 0.554 0.165
8 Zr 0.318 0.946 0.165
9 Zr 0.682 0.054 0.835
10 Zr 0.682 0.446 0.835
11 Zr 0.818 0.554 0.335
12 Zr 0.818 0.946 0.335
13 Ni 0.106 0.750 0.388
14 Ni 0.394 0.250 0.888
15 Ni 0.606 0.750 0.112
16 Ni 0.894 0.250 0.612


It comes down to <C>, which is 10.3 kJ/mol of atoms more stable than the next structure.


<A>
Er2ZrNi: relaxed, GGA-PBE.

## Properties
symmetry = P4/mmm, No. 123
total magnetization = 0.0 Bohr magnetons per cell

Unit cell a=3.377 b=3.377 c=7.913 alpha=90.00 beta=90.00 gamma=90.00
Fractional positions:
1 Er 0.000 0.000 0.206
2 Er 0.000 0.000 0.794
3 Zr 0.500 0.500 0.500
4 Ni 0.500 0.500 0.000


<B>
Er2ZrNi: relaxed, GGA-PBE.

## Properties
symmetry = R-3m, No. 166
total magnetization = 0.0 Bohr magnetons per cell

Unit cell a=10.349 b=10.349 c=10.349 alpha=18.47 beta=18.47 gamma=18.47
Fractional positions:
1 Er 0.105 0.105 0.105
2 Er 0.895 0.895 0.895
3 Zr 0.000 0.000 0.000
4 Ni 0.500 0.500 0.500


It comes down to <A>, which is 34.9 kJ/mol of atoms more stable than the next structure.


<A>
ErNpRh2: relaxed, GGA-PBE.

## Properties
symmetry = Fm-3m, No. 225
total magnetization = 3.4 Bohr magnetons per cell

Unit cell a=4.814 b=4.814 c=4.814 alpha=60.00 beta=60.00 gamma=60.00
Fractional positions:
1 Er 0.000 0.000 0.000
2 Np 0.500 0.500 0.500
3 Rh 0.250 0.250 0.250
4 Rh 0.750 0.750 0.750


<B>
ErNpRh2: relaxed, GGA-PBE.

## Properties
symmetry = P4/mmm, No. 123
total magnetization = 3.4 Bohr magnetons per cell

Unit cell a=4.839 b=4.839 c=3.371 alpha=90.00 beta=90.00 gamma=90.00
Fractional positions:
1 Er 0.000 0.000 0.000
2 Np 0.500 0.500 0.000
3 Rh 0.000 0.500 0.500
4 Rh 0.500 0.000 0.500


It comes down to <B>, which is 1.5 kJ/mol of atoms more stable than the next structure.


<A>
Er2NpRu3: relaxed, GGA-PBE.

## Properties
symmetry = Cmmm, No. 65
total magnetization = 2.1 Bohr magnetons per cell

Unit cell a=7.458 b=7.458 c=3.351 alpha=90.00 beta=90.00 gamma=141.73
Fractional positions:
1 Er 0.169 0.831 0.000
2 Er 0.831 0.169 0.000
3 Np 0.500 0.500 0.000
4 Ru 0.000 0.000 0.500
5 Ru 0.351 0.649 0.500
6 Ru 0.649 0.351 0.500


<B>
Er2NpRu3: relaxed, GGA-PBE.

## Properties
symmetry = Immm, No. 71
total magnetization = 1.6 Bohr magnetons per cell

Unit cell a=7.512 b=7.512 c=7.512 alpha=154.86 beta=136.70 gamma=50.72
Fractional positions:
1 Er 0.168 0.168 0.000
2 Er 0.832 0.832 0.000
3 Np 0.500 0.500 0.000
4 Ru 0.000 0.500 0.500
5 Ru 0.354 0.854 0.500
6 Ru 0.646 0.146 0.500


It comes down to <A>, which is 33.2 kJ/mol of atoms more stable than the next structure.


<A>
ErNpS3: relaxed, GGA-PBE.

## Properties
symmetry = P-6c2, No. 188
total magnetization = 7.9 Bohr magnetons per cell

Unit cell a=6.939 b=6.939 c=6.986 alpha=90.00 beta=90.00 gamma=120.00
Fractional positions:
1 Er 0.000 0.000 0.000
2 Er 0.000 0.000 0.500
3 Np 0.333 0.667 0.000
4 Np 0.333 0.667 0.500
5 S 0.072 0.330 0.250
6 S 0.072 0.742 0.750
7 S 0.258 0.330 0.750
8 S 0.258 0.928 0.250
9 S 0.670 0.742 0.250
10 S 0.670 0.928 0.750


<B>
ErNpS3: relaxed, GGA-PBE.

## Properties
symmetry = Pnma, No. 62
total magnetization = 15.9 Bohr magnetons per cell

Unit cell a=7.287 b=3.907 c=14.954 alpha=90.00 beta=90.00 gamma=90.00
Fractional positions:
1 Er 0.237 0.250 0.042
2 Er 0.263 0.750 0.542
3 Er 0.737 0.250 0.458
4 Er 0.763 0.750 0.958
5 Np 0.139 0.750 0.292
6 Np 0.361 0.250 0.792
7 Np 0.639 0.750 0.208
8 Np 0.861 0.250 0.708
9 S 0.010 0.750 0.107
10 S 0.124 0.250 0.433
11 S 0.146 0.750 0.720
12 S 0.354 0.250 0.220
13 S 0.376 0.750 0.933
14 S 0.490 0.250 0.607
15 S 0.510 0.750 0.393
16 S 0.624 0.250 0.067
17 S 0.646 0.750 0.780
18 S 0.854 0.250 0.280
19 S 0.876 0.750 0.567
20 S 0.990 0.250 0.893


It comes down to <B>, which is 12.0 kJ/mol of atoms more stable than the next structure.